# 1
This record from Alexandria via LeMat-Bulk describes ZnRh2Cl2 after structural relaxation. The functional is PBE-GGA.

```
data_ZnRh2Cl2
_chemical_formula_sum 'Zn2 Rh4 Cl4'
_space_group_name_H-M_alt 'P 1'
_space_group_IT_number 1
_cell_length_a 6.569
_cell_length_b 6.569
_cell_length_c 4.459
_cell_angle_alpha 90.00
_cell_angle_beta 90.00
_cell_angle_gamma 90.00
loop_
_space_group_symop_operation_xyz
'x,y,z'
loop_
_atom_site_label
_atom_site_fract_x
_atom_site_fract_y
_atom_site_fract_z
Zn1 0.000 0.000 0.000
Zn2 0.500 0.500 0.000
Rh1 0.135 0.365 0.000
Rh2 0.365 0.865 0.000
Rh3 0.635 0.135 0.000
Rh4 0.865 0.635 0.000
Cl1 0.198 0.302 0.500
Cl2 0.302 0.802 0.500
Cl3 0.698 0.198 0.500
Cl4 0.802 0.698 0.500
```

Output
E_form (uncorrected)	0.5	kJ per mole of atoms
symmetry	No. 127
N(E_F)	8.19	states/eV per cell
total magnetic moment	0.000	μB/f.u.
relative energy among the computed polymorphs	0	meV per atom
total DFT energy (no corrections)	-0.289	Ry per atom


# 2
This record from Alexandria via LeMat-Bulk describes ZnRhCl2 after structural relaxation. The functional is PBE-GGA.

```
data_ZnRhCl2
_chemical_formula_sum 'Zn1 Rh1 Cl2'
_space_group_name_H-M_alt 'P 1'
_space_group_IT_number 1
_cell_length_a 4.645
_cell_length_b 4.645
_cell_length_c 4.645
_cell_angle_alpha 60.00
_cell_angle_beta 60.00
_cell_angle_gamma 60.00
loop_
_space_group_symop_operation_xyz
'x,y,z'
loop_
_atom_site_label
_atom_site_fract_x
_atom_site_fract_y
_atom_site_fract_z
Zn1 0.000 0.000 0.000
Rh1 0.750 0.750 0.750
Cl1 0.250 0.250 0.250
Cl2 0.500 0.500 0.500
```

Output
E_form (uncorrected)	42.8	kJ per mole of atoms
symmetry	No. 216
N(E_F)	6.69	states/eV per cell
total magnetic moment	1.164	μB/f.u.
relative energy among the computed polymorphs	804	meV per atom
total DFT energy (no corrections)	-0.194	Ry per atom


# 3
This record from Alexandria via LeMat-Bulk describes Zn2RhCl after structural relaxation. The functional is PBE-GGA.

```
data_Zn2RhCl
_chemical_formula_sum 'Zn2 Rh1 Cl1'
_space_group_name_H-M_alt 'P 1'
_space_group_IT_number 1
_cell_length_a 5.058
_cell_length_b 5.058
_cell_length_c 5.058
_cell_angle_alpha 135.99
_cell_angle_beta 135.99
_cell_angle_gamma 63.99
loop_
_space_group_symop_operation_xyz
'x,y,z'
loop_
_atom_site_label
_atom_site_fract_x
_atom_site_fract_y
_atom_site_fract_z
Zn1 0.250 0.750 0.500
Zn2 0.750 0.250 0.500
Rh1 0.000 0.000 0.000
Cl1 0.500 0.500 0.000
```

Output
E_form (uncorrected)	14.0	kJ per mole of atoms
symmetry	No. 139
N(E_F)	1.66	states/eV per cell
total magnetic moment	0.000	μB/f.u.
relative energy among the computed polymorphs	529	meV per atom
total DFT energy (no corrections)	-0.205	Ry per atom


# 4
This record from Alexandria via LeMat-Bulk describes ZnRhCl2 after structural relaxation. The functional is PBE-GGA.

```
data_ZnRhCl2
_chemical_formula_sum 'Zn1 Rh1 Cl2'
_space_group_name_H-M_alt 'P 1'
_space_group_IT_number 1
_cell_length_a 3.173
_cell_length_b 3.949
_cell_length_c 5.675
_cell_angle_alpha 90.00
_cell_angle_beta 90.00
_cell_angle_gamma 90.00
loop_
_space_group_symop_operation_xyz
'x,y,z'
loop_
_atom_site_label
_atom_site_fract_x
_atom_site_fract_y
_atom_site_fract_z
Zn1 0.000 0.000 0.000
Rh1 0.500 0.000 0.500
Cl1 0.000 0.500 0.500
Cl2 0.500 0.500 0.000
```

Output
E_form (uncorrected)	8.4	kJ per mole of atoms
symmetry	No. 47
N(E_F)	3.69	states/eV per cell
total magnetic moment	0.265	μB/f.u.
relative energy among the computed polymorphs	447	meV per atom
total DFT energy (no corrections)	-0.220	Ry per atom


# 5
This record from Alexandria via LeMat-Bulk describes ZnRhCl2 after structural relaxation. The functional is PBE-GGA.

```
data_ZnRhCl2
_chemical_formula_sum 'Zn1 Rh1 Cl2'
_space_group_name_H-M_alt 'P 1'
_space_group_IT_number 1
_cell_length_a 4.450
_cell_length_b 4.450
_cell_length_c 3.426
_cell_angle_alpha 90.00
_cell_angle_beta 90.00
_cell_angle_gamma 90.07
loop_
_space_group_symop_operation_xyz
'x,y,z'
loop_
_atom_site_label
_atom_site_fract_x
_atom_site_fract_y
_atom_site_fract_z
Zn1 0.000 0.000 0.000
Rh1 0.500 0.500 0.000
Cl1 0.000 0.500 0.500
Cl2 0.500 0.000 0.500
```

Output
E_form (uncorrected)	28.9	kJ per mole of atoms
symmetry	No. 65
N(E_F)	3.64	states/eV per cell
total magnetic moment	0.000	μB/f.u.
relative energy among the computed polymorphs	659	meV per atom
total DFT energy (no corrections)	-0.204	Ry per atom


# 6
This record from Alexandria via LeMat-Bulk describes ZnRh2Cl after structural relaxation. The functional is PBE-GGA.

```
data_ZnRh2Cl
_chemical_formula_sum 'Zn1 Rh2 Cl1'
_space_group_name_H-M_alt 'P 1'
_space_group_IT_number 1
_cell_length_a 4.692
_cell_length_b 4.692
_cell_length_c 4.734
_cell_angle_alpha 95.70
_cell_angle_beta 95.70
_cell_angle_gamma 36.15
loop_
_space_group_symop_operation_xyz
'x,y,z'
loop_
_atom_site_label
_atom_site_fract_x
_atom_site_fract_y
_atom_site_fract_z
Zn1 0.000 0.000 0.000
Rh1 0.276 0.276 0.767
Rh2 0.724 0.724 0.233
Cl1 0.500 0.500 0.500
```

Output
E_form (uncorrected)	14.2	kJ per mole of atoms
symmetry	No. 12
N(E_F)	3.02	states/eV per cell
total magnetic moment	0.000	μB/f.u.
relative energy among the computed polymorphs	175	meV per atom
total DFT energy (no corrections)	-0.317	Ry per atom


# 7
This record from Alexandria via LeMat-Bulk describes ZnRhCl2 after structural relaxation. The functional is PBE-GGA.

```
data_ZnRhCl2
_chemical_formula_sum 'Zn1 Rh1 Cl2'
_space_group_name_H-M_alt 'P 1'
_space_group_IT_number 1
_cell_length_a 3.750
_cell_length_b 3.750
_cell_length_c 9.146
_cell_angle_alpha 105.27
_cell_angle_beta 105.27
_cell_angle_gamma 55.25
loop_
_space_group_symop_operation_xyz
'x,y,z'
loop_
_atom_site_label
_atom_site_fract_x
_atom_site_fract_y
_atom_site_fract_z
Zn1 0.000 0.000 0.000
Rh1 0.500 0.500 0.500
Cl1 0.204 0.204 0.653
Cl2 0.796 0.796 0.347
```

Output
E_form (uncorrected)	-0.8	kJ per mole of atoms
symmetry	No. 12
N(E_F)	0.48	states/eV per cell
total magnetic moment	1.011	μB/f.u.
relative energy among the computed polymorphs	352	meV per atom
total DFT energy (no corrections)	-0.227	Ry per atom


# 8
This record from Alexandria via LeMat-Bulk describes ZnRh2Cl after structural relaxation. The functional is PBE-GGA.

```
data_ZnRh2Cl
_chemical_formula_sum 'Zn1 Rh2 Cl1'
_space_group_name_H-M_alt 'P 1'
_space_group_IT_number 1
_cell_length_a 2.972
_cell_length_b 2.972
_cell_length_c 7.273
_cell_angle_alpha 90.00
_cell_angle_beta 90.00
_cell_angle_gamma 90.00
loop_
_space_group_symop_operation_xyz
'x,y,z'
loop_
_atom_site_label
_atom_site_fract_x
_atom_site_fract_y
_atom_site_fract_z
Zn1 0.000 0.000 0.000
Rh1 0.000 0.000 0.554
Rh2 0.500 0.500 0.785
Cl1 0.500 0.500 0.303
```

Output
E_form (uncorrected)	5.6	kJ per mole of atoms
symmetry	No. 99
N(E_F)	3.43	states/eV per cell
total magnetic moment	2.015	μB/f.u.
relative energy among the computed polymorphs	85	meV per atom
total DFT energy (no corrections)	-0.323	Ry per atom


# 9
This record from Alexandria via LeMat-Bulk describes Zn2RhCl after structural relaxation. The functional is PBE-GGA.

```
data_Zn2RhCl
_chemical_formula_sum 'Zn2 Rh1 Cl1'
_space_group_name_H-M_alt 'P 1'
_space_group_IT_number 1
_cell_length_a 3.321
_cell_length_b 3.479
_cell_length_c 6.701
_cell_angle_alpha 90.00
_cell_angle_beta 90.00
_cell_angle_gamma 90.00
loop_
_space_group_symop_operation_xyz
'x,y,z'
loop_
_atom_site_label
_atom_site_fract_x
_atom_site_fract_y
_atom_site_fract_z
Zn1 0.000 0.000 0.000
Zn2 0.500 0.500 0.270
Rh1 0.500 0.500 0.908
Cl1 0.000 0.000 0.458
```

Output
E_form (uncorrected)	-12.5	kJ per mole of atoms
symmetry	No. 25
N(E_F)	1.33	states/eV per cell
total magnetic moment	0.000	μB/f.u.
relative energy among the computed polymorphs	254	meV per atom
total DFT energy (no corrections)	-0.225	Ry per atom


# 10
This record from Alexandria via LeMat-Bulk describes ZnRhCl2 after structural relaxation. The functional is PBE-GGA.

```
data_ZnRhCl2
_chemical_formula_sum 'Zn1 Rh1 Cl2'
_space_group_name_H-M_alt 'P 1'
_space_group_IT_number 1
_cell_length_a 9.096
_cell_length_b 9.096
_cell_length_c 9.096
_cell_angle_alpha 22.25
_cell_angle_beta 22.25
_cell_angle_gamma 22.25
loop_
_space_group_symop_operation_xyz
'x,y,z'
loop_
_atom_site_label
_atom_site_fract_x
_atom_site_fract_y
_atom_site_fract_z
Zn1 0.000 0.000 0.000
Rh1 0.500 0.500 0.500
Cl1 0.114 0.114 0.114
Cl2 0.886 0.886 0.886
```

Output
E_form (uncorrected)	1.9	kJ per mole of atoms
symmetry	No. 166
N(E_F)	4.89	states/eV per cell
total magnetic moment	1.000	μB/f.u.
relative energy among the computed polymorphs	380	meV per atom
total DFT energy (no corrections)	-0.225	Ry per atom


# 11
This record from Alexandria via LeMat-Bulk describes ZnRhCl2 after structural relaxation. The functional is PBE-GGA.

```
data_ZnRhCl2
_chemical_formula_sum 'Zn1 Rh1 Cl2'
_space_group_name_H-M_alt 'P 1'
_space_group_IT_number 1
_cell_length_a 4.272
_cell_length_b 4.272
_cell_length_c 6.988
_cell_angle_alpha 94.22
_cell_angle_beta 94.22
_cell_angle_gamma 49.15
loop_
_space_group_symop_operation_xyz
'x,y,z'
loop_
_atom_site_label
_atom_site_fract_x
_atom_site_fract_y
_atom_site_fract_z
Zn1 0.000 0.000 0.000
Rh1 0.723 0.723 0.140
Cl1 0.307 0.307 0.345
Cl2 0.608 0.608 0.797
```

Output
E_form (uncorrected)	-27.8	kJ per mole of atoms
symmetry	No. 8
N(E_F)	1.97	states/eV per cell
total magnetic moment	0.013	μB/f.u.
relative energy among the computed polymorphs	72	meV per atom
total DFT energy (no corrections)	-0.248	Ry per atom


# 12
This record from Alexandria via LeMat-Bulk describes Zn2RhCl after structural relaxation. The functional is PBE-GGA.

```
data_Zn2RhCl
_chemical_formula_sum 'Zn2 Rh1 Cl1'
_space_group_name_H-M_alt 'P 1'
_space_group_IT_number 1
_cell_length_a 6.451
_cell_length_b 6.451
_cell_length_c 6.451
_cell_angle_alpha 152.70
_cell_angle_beta 143.34
_cell_angle_gamma 46.30
loop_
_space_group_symop_operation_xyz
'x,y,z'
loop_
_atom_site_label
_atom_site_fract_x
_atom_site_fract_y
_atom_site_fract_z
Zn1 0.000 0.000 0.000
Zn2 0.652 0.152 0.500
Rh1 0.171 0.671 0.500
Cl1 0.367 0.367 0.000
```

Output
E_form (uncorrected)	-17.5	kJ per mole of atoms
symmetry	No. 44
N(E_F)	1.45	states/eV per cell
total magnetic moment	0.000	μB/f.u.
relative energy among the computed polymorphs	203	meV per atom
total DFT energy (no corrections)	-0.229	Ry per atom


# 13
This record from Alexandria via LeMat-Bulk describes Zn2RhCl after structural relaxation. The functional is PBE-GGA.

```
data_Zn2RhCl
_chemical_formula_sum 'Zn2 Rh1 Cl1'
_space_group_name_H-M_alt 'P 1'
_space_group_IT_number 1
_cell_length_a 4.517
_cell_length_b 4.517
_cell_length_c 6.702
_cell_angle_alpha 110.91
_cell_angle_beta 110.91
_cell_angle_gamma 40.79
loop_
_space_group_symop_operation_xyz
'x,y,z'
loop_
_atom_site_label
_atom_site_fract_x
_atom_site_fract_y
_atom_site_fract_z
Zn1 0.000 0.000 0.000
Zn2 0.666 0.666 0.792
Rh1 0.312 0.312 0.105
Cl1 0.416 0.416 0.496
```

Output
E_form (uncorrected)	-20.9	kJ per mole of atoms
symmetry	No. 8
N(E_F)	1.42	states/eV per cell
total magnetic moment	0.000	μB/f.u.
relative energy among the computed polymorphs	167	meV per atom
total DFT energy (no corrections)	-0.232	Ry per atom


# 14
This record from Alexandria via LeMat-Bulk describes ZnRhCl2 after structural relaxation. The functional is PBE-GGA.

```
data_ZnRhCl2
_chemical_formula_sum 'Zn1 Rh1 Cl2'
_space_group_name_H-M_alt 'P 1'
_space_group_IT_number 1
_cell_length_a 7.224
_cell_length_b 7.224
_cell_length_c 7.224
_cell_angle_alpha 153.70
_cell_angle_beta 147.02
_cell_angle_gamma 42.66
loop_
_space_group_symop_operation_xyz
'x,y,z'
loop_
_atom_site_label
_atom_site_fract_x
_atom_site_fract_y
_atom_site_fract_z
Zn1 0.000 0.000 0.000
Rh1 0.500 0.500 0.000
Cl1 0.362 0.862 0.500
Cl2 0.638 0.138 0.500
```

Output
E_form (uncorrected)	-25.1	kJ per mole of atoms
symmetry	No. 71
N(E_F)	2.00	states/eV per cell
total magnetic moment	0.590	μB/f.u.
relative energy among the computed polymorphs	100	meV per atom
total DFT energy (no corrections)	-0.245	Ry per atom


# 15
This record from Alexandria via LeMat-Bulk describes ZnRh2Cl after structural relaxation. The functional is PBE-GGA.

```
data_ZnRh2Cl
_chemical_formula_sum 'Zn1 Rh2 Cl1'
_space_group_name_H-M_alt 'P 1'
_space_group_IT_number 1
_cell_length_a 8.218
_cell_length_b 8.218
_cell_length_c 8.218
_cell_angle_alpha 20.98
_cell_angle_beta 20.98
_cell_angle_gamma 20.98
loop_
_space_group_symop_operation_xyz
'x,y,z'
loop_
_atom_site_label
_atom_site_fract_x
_atom_site_fract_y
_atom_site_fract_z
Zn1 0.000 0.000 0.000
Rh1 0.252 0.252 0.252
Rh2 0.502 0.502 0.502
Cl1 0.747 0.747 0.747
```

Output
E_form (uncorrected)	6.9	kJ per mole of atoms
symmetry	No. 160
N(E_F)	3.66	states/eV per cell
total magnetic moment	1.793	μB/f.u.
relative energy among the computed polymorphs	99	meV per atom
total DFT energy (no corrections)	-0.322	Ry per atom